## Ta2MnRu (GGA-PBE)

Data for Ta2MnRu after structural relaxation.

Calculated values
Crystal system ... orthorhombic
Energy of formation ... 3.3 kJ per mole of atoms
Total magnetic moment ... 0.118 μB per atom

The structure in POSCAR format:
```
Ta2MnRu
1.0
1.954 -1.976 0.000
1.954 1.976 0.000
0.000 0.000 8.035
Ta Mn Ru
2 1 1
Direct
0.000 0.000 0.000 Ta
0.500 0.500 0.292 Ta
0.000 0.000 0.545 Mn
0.500 0.500 0.729 Ru
```